Below is a relaxed ScCo2Re crystal, with properties calculated at the PBE level.

```
4
Lattice="2.748 0.000 0.000 0.000 4.279 0.000 -0.766 0.000 4.622" Properties=species:S:1:pos:R:3 pbc="T T T"
Sc 0.000 0.000 0.000
Co 1.434 2.140 0.575
Co 1.369 0.000 2.197
Re 0.144 2.140 2.764
```

Properties
Excess energy over the best structure of this formula in the dataset ... 0 kJ/mol of formula units
Calculated volume ... 13.59 Å³ per atom
M_tot ... 0.00 Bohr magnetons per cell
Density of states at the Fermi level ... 3.5 states/eV/cell



Below is a relaxed AcDyRu2 crystal, with properties calculated at the PBE level.

```
16
Lattice="7.070 0.000 0.000 0.000 7.070 0.000 0.000 0.000 7.070" Properties=species:S:1:pos:R:3 pbc="T T T"
Ac 0.000 0.000 0.000
Ac 0.000 3.535 3.535
Ac 3.535 0.000 3.535
Ac 3.535 3.535 0.000
Dy 0.000 0.000 3.535
Dy 0.000 3.535 0.000
Dy 3.535 0.000 0.000
Dy 3.535 3.535 3.535
Ru 1.767 1.767 1.767
Ru 1.767 1.767 5.302
Ru 1.767 5.302 1.767
Ru 1.767 5.302 5.302
Ru 5.302 1.767 1.767
Ru 5.302 1.767 5.302
Ru 5.302 5.302 1.767
Ru 5.302 5.302 5.302
```

Properties
Excess energy over the best structure of this formula in the dataset ... 0 kJ/mol of formula units
Calculated volume ... 22.09 Å³ per atom
M_tot ... 0.00 Bohr magnetons per cell
Density of states at the Fermi level ... 15.5 states/eV/cell



Below is a relaxed K3Rb3Na2 crystal, with properties calculated at the PBE level.

```
8
Lattice="6.722 0.000 0.000 0.027 6.795 0.000 3.358 3.357 12.130" Properties=species:S:1:pos:R:3 pbc="T T T"
K 0.000 0.000 0.000
K 3.375 6.778 8.558
K 6.731 3.373 3.572
Rb 3.382 6.798 3.505
Rb 3.374 3.397 0.000
Rb 6.724 3.354 8.625
Na 3.369 3.418 6.056
Na 6.738 6.734 6.073
```

Properties
Excess energy over the best structure of this formula in the dataset ... 0 kJ/mol of formula units
Calculated volume ... 69.25 Å³ per atom
M_tot ... 0.00 Bohr magnetons per cell
Density of states at the Fermi level ... 6.2 states/eV/cell



Below is a relaxed CaH2PtPb crystal, with properties calculated at the PBE level.

```
5
Lattice="4.132 0.000 0.000 0.000 4.132 0.000 0.000 0.000 5.559" Properties=species:S:1:pos:R:3 pbc="T T T"
Ca 0.000 0.000 0.000
H 0.000 2.066 2.779
H 2.066 0.000 2.779
Pt 2.066 2.066 0.000
Pb 2.066 2.066 2.779
```

Properties
Calculated volume ... 18.98 Å³ per atom
M_tot ... 0.00 Bohr magnetons per cell
E_tot ... -3.72 eV/atom
Density of states at the Fermi level ... 1.2 states/eV/cell



Below is a relaxed SrAs2 crystal, with properties calculated at the PBE level.

```
6
Lattice="0.000 4.182 4.182 4.182 0.000 4.182 4.182 4.182 0.000" Properties=species:S:1:pos:R:3 pbc="T T T"
Sr 1.045 1.045 1.045
Sr 7.318 7.318 7.318
As 4.182 2.091 2.091
As 2.091 4.182 2.091
As 2.091 2.091 4.182
As 4.182 4.182 4.182
```

Properties
Calculated volume ... 24.38 Å³ per atom
M_tot ... 0.00 Bohr magnetons per cell
E_tot ... -4.15 eV/atom
Density of states at the Fermi level ... 3.8 states/eV/cell



Below is a relaxed CsNpAuSe2 crystal, with properties calculated at the PBE level.

```
10
Lattice="3.137 -8.247 0.000 3.137 8.247 0.000 0.000 0.000 6.057" Properties=species:S:1:pos:R:3 pbc="T T T"
Cs 3.137 4.124 4.646
Cs 3.137 -4.124 1.411
Np 1.569 0.000 3.029
Np 4.706 0.000 3.029
Au 0.000 0.000 0.000
Au 3.137 0.000 0.000
Se 3.137 6.274 1.588
Se 3.137 1.973 1.588
Se 3.137 -1.973 4.469
Se 3.137 -6.274 4.469
```

Properties
Calculated volume ... 31.34 Å³ per atom
M_tot ... 10.01 Bohr magnetons per cell
E_tot ... -5.57 eV/atom
Density of states at the Fermi level ... 15.6 states/eV/cell



Below is a relaxed Mg2Tl2I7 crystal, with properties calculated at the PBE level.

```
11
Lattice="5.344 -6.857 0.000 5.344 6.857 0.000 -1.160 0.000 7.414" Properties=species:S:1:pos:R:3 pbc="T T T"
Mg 2.136 0.000 3.081
Mg 7.392 0.000 4.333
Tl 5.344 2.722 0.000
Tl 5.344 -2.722 0.000
I -0.580 0.000 3.707
I 2.419 2.362 1.706
I 3.461 0.000 5.483
I 2.419 -2.362 1.706
I 7.109 2.362 5.708
I 6.067 0.000 1.931
I 7.109 -2.362 5.708
```

Properties
Calculated volume ... 49.39 Å³ per atom
M_tot ... 0.00 Bohr magnetons per cell
E_tot ... -2.41 eV/atom
Density of states at the Fermi level ... 6.3 states/eV/cell



Below is a relaxed K3Pm2MnTe6 crystal, with properties calculated at the PBE level.

```
12
Lattice="3.865 -6.739 0.000 3.865 6.739 0.000 -2.582 0.000 8.225" Properties=species:S:1:pos:R:3 pbc="T T T"
K 0.000 0.000 0.000
K 3.865 2.325 0.000
K 3.865 -2.325 0.000
Pm 2.574 4.491 4.112
Pm 2.574 -4.491 4.112
Mn 2.574 0.000 4.112
Te 1.374 2.088 2.431
Te 0.230 0.000 5.762
Te 1.374 -2.088 2.431
Te 3.774 2.088 5.794
Te 4.918 0.000 2.463
Te 3.774 -2.088 5.794
```

Properties
Calculated volume ... 35.70 Å³ per atom
M_tot ... 4.00 Bohr magnetons per cell
E_tot ... -4.46 eV/atom
Density of states at the Fermi level ... 6.4 states/eV/cell



> Among the records above, which one has the highest M_tot?

CsNpAuSe2



> Which formula does entry 7 have?

Mg2Tl2I7